1.
KBiPdPb, optimized geometry, DFT PBE-GGA; ΔE_f = -0.305 eV per atom; calculated total energy = -0.1387 Ha/atom
1.0
2.3780 1.3729 6.6641
-2.3780 1.3729 6.6641
0.0000 -2.7459 6.6641
K Bi Pd Pb
1 1 1 1
Direct
0.0000 0.0000 0.0000 K
0.5484 0.5484 0.5484 Bi
0.1790 0.1790 0.1790 Pd
0.7905 0.7905 0.7905 Pb



2.
MnP3, optimized geometry, DFT PBE-GGA; ΔE_f = 0.553 eV per atom; energy above the lowest structure with this stoichiometry = 0.713 eV/atom; calculated total energy = -0.2130 Ha/atom
1.0
3.8719 0.0000 0.0000
0.0000 3.8719 0.0000
0.0000 0.0000 3.8719
Mn P
1 3
Direct
0.0000 0.0000 0.0000 Mn
0.0000 0.5000 0.5000 P
0.5000 0.0000 0.5000 P
0.5000 0.5000 0.0000 P